Computed, not measured: CaAl2Ir after structural relaxation at the GGA-PBE level of DFT.

Results
Fermi-level density of states   2.7 states/eV per cell
SG   R-3m, No. 166
Crystal system   trigonal
Total energy   -5.20 eV/atom
Calculated formation energy   -0.616 eV/atom

POSCAR file:
```
CaAl2Ir
1.0
-5.2577 0.1536 2.4479
-3.2959 -3.5760 3.1636
-2.1611 -0.1038 5.3831
Ca Ir Al
1 1 2
Direct
0.2500 0.2500 0.2500
0.7500 0.7500 0.7500
0.0489 0.0489 0.0489
0.4511 0.4511 0.4511
```